(1)
Computed, not measured: a relaxed DyThIrOs crystal at the PBE level of DFT.

Properties
D(E_F): 2.26 states/eV per cell
Space-group type: F-43m, No. 216
ΔH_f (0 K): -473 meV/atom

```
DyThIrOs
1.0
4.954 0.000 0.000
2.477 4.290 0.000
2.477 1.430 4.045
Ir Os Th Dy
1 1 1 1
Cartesian
2.477 1.430 1.011
7.430 4.290 3.033
0.000 0.000 0.000
4.954 2.860 2.022
```



(2)
Computed, not measured: a relaxed LaCrTc2 crystal at the PBE level of DFT.

Properties
D(E_F): 4.07 states/eV per cell
Space-group type: Immm, No. 71
Energy relative to the lowest polymorph listed for this composition: 223 meV per atom
ΔH_f (0 K): 522 meV/atom

```
LaCrTc2
1.0
-0.249 5.432 0.207
-4.953 2.047 -0.942
3.173 -3.065 3.187
Cr La Tc
1 1 2
Cartesian
-2.191 1.361 0.938
0.161 3.053 1.513
-0.183 0.263 -0.026
-2.418 3.476 -0.342
```



(3)
Computed, not measured: a relaxed Ce2TmNb crystal at the PBE level of DFT.

Properties
D(E_F): 9.70 states/eV per cell
Space-group type: P4/mmm, No. 123
Energy relative to the lowest polymorph listed for this composition: 0 meV per atom
ΔH_f (0 K): 238 meV/atom

```
Ce2TmNb
1.0
3.543 0.000 0.000
0.000 3.543 0.000
0.000 0.000 8.357
Nb Tm Ce
1 1 2
Cartesian
1.772 1.772 0.000
1.772 1.772 4.179
0.000 0.000 6.554
0.000 0.000 1.804
```



(4)
Computed, not measured: a relaxed BaSn2Pd4 crystal at the PBE level of DFT.

Properties
D(E_F): 10.77 states/eV per cell
Space-group type: P4_2/mnm, No. 136
Energy relative to the lowest polymorph listed for this composition: 98 meV per atom
ΔH_f (0 K): -536 meV/atom

```
BaSn2Pd4
1.0
4.126 0.000 0.000
0.000 8.530 0.000
0.000 0.000 8.530
Ba Sn Pd
2 4 8
Cartesian
2.063 0.000 0.000
0.000 4.265 4.265
0.000 1.927 6.603
0.000 6.603 1.927
2.063 6.192 6.192
2.063 2.338 2.338
0.000 0.669 2.937
0.000 7.861 5.593
2.063 1.328 4.934
2.063 7.202 3.596
2.063 3.596 7.202
2.063 4.934 1.328
0.000 2.937 0.669
0.000 5.593 7.861
```



(5)
Computed, not measured: a relaxed LaTlAuSe2 crystal at the PBE level of DFT.

Properties
D(E_F): 4.77 states/eV per cell
ΔE_f (raw): -0.8565 eV/atom
Space-group type: P2/c, No. 13

```
LaTlAuSe2
1.0
5.398 0.000 0.000
0.000 6.876 0.062
0.000 -2.017 8.334
La Tl Au Se
2 2 2 4
Cartesian
2.672 -0.504 2.083
2.727 -1.513 6.250
0.879 1.925 6.281
4.519 2.934 2.115
0.000 0.000 0.000
0.000 -1.008 4.167
3.668 3.075 7.987
3.668 0.775 4.575
1.731 4.084 3.820
1.731 1.783 0.409
```



(6)
Computed, not measured: a relaxed ZnGaTeI2 crystal at the PBE level of DFT.

Properties
D(E_F): 2.36 states/eV per cell
ΔE_f (raw): 0.0016 eV/atom
Space-group type: P4/mmm, No. 123
Energy relative to the lowest polymorph listed for this composition: 0 meV per atom

```
ZnGaTeI2
1.0
-1.505 1.979 -5.108
4.802 -2.071 -2.217
-2.479 -4.617 -1.058
I Zn Te Ga
2 1 1 1
Cartesian
2.401 -1.035 -1.109
-0.752 0.989 -2.554
0.000 0.000 0.000
-1.240 -2.308 -0.529
0.409 -2.354 -4.192
```



(7)
Computed, not measured: a relaxed CsNpTe2Au crystal at the PBE level of DFT.

Properties
D(E_F): 17.00 states/eV per cell
ΔE_f (raw): -0.5530 eV/atom
Space-group type: Cmme, No. 67

```
CsNpTe2Au
1.0
6.249 0.000 0.000
0.000 9.518 0.227
0.000 -2.286 5.965
Cs Np Te Au
2 2 4 2
Cartesian
1.520 3.045 4.587
4.730 4.188 1.605
3.125 -0.571 1.491
3.125 -1.714 4.473
4.675 5.203 5.414
4.675 0.886 3.760
1.574 6.346 2.432
1.574 2.029 0.777
0.000 0.000 0.000
0.000 -1.143 2.982
```



(8)
Computed, not measured: a relaxed Ba3DyTm3Se8 crystal at the PBE level of DFT.

Properties
D(E_F): 3.45 states/eV per cell
ΔE_f (raw): -1.9044 eV/atom
Space-group type: R-3m, No. 166

```
Ba3DyTm3Se8
1.0
-4.807 -2.874 -6.193
5.895 -4.890 3.323
-7.288 1.661 4.886
Ba Dy Tm Se
3 1 3 8
Cartesian
0.000 0.000 0.000
2.947 -2.445 1.662
0.544 -3.882 -1.435
-3.644 0.831 2.443
-6.048 -0.606 -0.653
-3.100 -3.051 1.008
-0.697 -1.614 4.105
-0.282 -2.853 1.543
-5.919 -3.250 0.474
-2.703 -4.254 -1.556
-3.498 -1.849 3.573
-5.600 -1.850 -3.190
-0.601 -4.253 5.206
-3.238 -0.438 -0.147
-2.963 -5.665 2.163
```



(9)
Computed, not measured: a relaxed YS2Br crystal at the PBE level of DFT.

Properties
D(E_F): 0.00 states/eV per cell
ΔE_f (raw): -1.2006 eV/atom
Space-group type: R-3m, No. 166
Energy relative to the lowest polymorph listed for this composition: 0 meV per atom

```
YS2Br
1.0
2.397 0.000 7.667
-1.198 2.076 7.667
-1.198 -2.076 7.667
Y S Br
1 2 1
Cartesian
0.000 0.000 11.500
0.000 0.000 20.532
0.000 0.000 2.469
0.000 0.000 0.000
```



(10)
Computed, not measured: a relaxed MnCuCSBr crystal at the PBE level of DFT.

Properties
D(E_F): 1.05 states/eV per cell
ΔE_f (raw): 0.1714 eV/atom
Space-group type: P1, No. 1
Energy relative to the lowest polymorph listed for this composition: 57 meV per atom

```
MnCuCSBr
1.0
-0.886 2.716 -1.812
-3.365 0.830 2.888
1.987 3.172 3.771
C S Mn Cu Br
1 1 1 1 1
Cartesian
-1.367 2.115 0.186
-2.000 2.848 1.597
0.034 0.652 0.467
-0.520 4.191 2.836
-1.894 3.009 4.950
```